1.
TbCe2PmS4 | PBE | optimized geometry

a = 6.9301 Å, b = 3.9913 Å, c = 6.9582 Å
α = 90.00°, β = 109.34°, γ = 90.00°
Last column: nearest neighbours and their distance in Å.
Sites, in units of the cell vectors:
1 Tb 0.0000 0.0000 0.0000  6 S 2.79
2 Ce 0.0000 0.5000 0.5000  6 S 2.83
3 Ce 0.5000 0.0000 0.5000  6 S 2.87
4 Pm 0.5000 0.5000 0.0000  6 S 2.83
5 S 0.2432 0.5000 0.2432  2 Tb 2.79, 3 Ce 2.83-2.87, 1 Pm 2.83
6 S 0.2465 0.0000 0.7534  1 Tb 2.79, 3 Ce 2.83-2.87, 2 Pm 2.83
7 S 0.7535 0.0000 0.2466  1 Tb 2.79, 3 Ce 2.83-2.87, 2 Pm 2.83
8 S 0.7568 0.5000 0.7568  2 Tb 2.79, 3 Ce 2.83-2.87, 1 Pm 2.83

Calculated values
Its uncorrected formation energy is -2.0382 eV/atom. As for the density of states at the Fermi level: 11.129 states/eV/cell.

2.
Sm2DyHo3Bi6 | PBE | optimized geometry

a = 10.0500 Å, b = 10.0500 Å, c = 8.9913 Å
α = 102.86°, β = 102.86°, γ = 25.85°
Last column: nearest neighbours and their distance in Å.
Sites, in units of the cell vectors:
1 Sm 0.1662 0.1662 0.3330  6 Bi 3.21
2 Sm 0.8338 0.8338 0.6670  6 Bi 3.21
3 Dy 0.5000 0.5000 0.0000  6 Bi 3.18
4 Ho 0.1675 0.1675 0.8338  6 Bi 3.15-3.17
5 Ho 0.5000 0.5000 0.5000  6 Bi 3.15-3.18
6 Ho 0.8325 0.8325 0.1662  6 Bi 3.15-3.17
7 Bi 0.0020 0.0020 0.7504  3 Ho 3.16-3.18, 2 Dy 3.18, 1 Sm 3.21
8 Bi 0.3335 0.3335 0.9213  3 Ho 3.15-3.17, 1 Dy 3.18, 2 Sm 3.21
9 Bi 0.3347 0.3347 0.4129  3 Ho 3.15, 3 Sm 3.21
10 Bi 0.6653 0.6653 0.5871  3 Ho 3.15, 3 Sm 3.21
11 Bi 0.6665 0.6665 0.0787  3 Ho 3.15-3.17, 1 Dy 3.18, 2 Sm 3.21
12 Bi 0.9980 0.9980 0.2496  3 Ho 3.16-3.18, 2 Dy 3.18, 1 Sm 3.21

Calculated values
For the formation energy, the calculation gives -0.87 eV per atom. As for the density of states at the Fermi level: 2.001 states/eV/cell.

3.
Cs2SbPtI6 | PBE | optimized geometry

a = 8.3593 Å, b = 8.3593 Å, c = 8.3593 Å
α = 119.83°, β = 119.83°, γ = 90.30°
Last column: nearest neighbours and their distance in Å.
Sites, in units of the cell vectors:
1 Cs 0.2500 0.7500 0.5000  12 I 4.18-4.19
2 Cs 0.7500 0.2500 0.5000  12 I 4.18-4.19
3 Sb 0.0000 0.0000 0.0000  6 I 3.08-3.09
4 Pt 0.5000 0.5000 0.0000  6 I 2.82-2.83
5 I 0.2611 0.2611 0.0000  1 Pt 2.82, 1 Sb 3.08
6 I 0.2609 0.2609 0.5217  1 Pt 2.83, 1 Sb 3.09
7 I 0.2609 0.7391 0.0000  1 Pt 2.83, 1 Sb 3.09
8 I 0.7391 0.2609 0.0000  1 Pt 2.83, 1 Sb 3.09
9 I 0.7389 0.7389 0.0000  1 Pt 2.82, 1 Sb 3.08
10 I 0.7391 0.7391 0.4783  1 Pt 2.83, 1 Sb 3.09

Calculated values
Its uncorrected formation energy is -0.7103 eV/atom. As for the density of states at the Fermi level: 2.692 states/eV/cell.

4.
SmGd2Mg | PBE | optimized geometry

a = 12.5186 Å, b = 12.5186 Å, c = 12.5186 Å
α = 15.97°, β = 15.97°, γ = 15.97°
Last column: nearest neighbours and their distance in Å.
Sites, in units of the cell vectors:
1 Sm 0.0000 0.0000 0.0000  6 Sm 3.48, 6 Gd 3.52
2 Gd 0.4114 0.4114 0.4114  1 Mg 3.28, 6 Gd 3.48, 3 Sm 3.52
3 Gd 0.5886 0.5886 0.5886  1 Mg 3.28, 6 Gd 3.48, 3 Sm 3.52
4 Mg 0.5000 0.5000 0.5000  2 Gd 3.28, 6 Mg 3.48

Calculated values
For the formation energy, the calculation gives 0.20 eV per atom. Its relative energy among the computed polymorphs is 234.3 meV per atom. As for the density of states at the Fermi level: 4.796 states/eV/cell.

5.
Li2SmTm2Ga2 | PBE | optimized geometry

a = 9.0661 Å, b = 9.0661 Å, c = 9.0661 Å
α = 29.53°, β = 29.53°, γ = 29.53°
Last column: nearest neighbours and their distance in Å.
Sites, in units of the cell vectors:
1 Li 0.0963 0.0963 0.0963  3 Ga 2.67
2 Li 0.9037 0.9037 0.9037  3 Ga 2.67
3 Sm 0.5000 0.5000 0.5000  6 Li 3.23, 6 Ga 3.32, 2 Tm 3.32
4 Tm 0.3721 0.3721 0.3721  3 Ga 2.99, 3 Li 3.06, 1 Sm 3.32, 3 Tm 3.34
5 Tm 0.6279 0.6279 0.6279  3 Ga 2.99, 3 Li 3.06, 1 Sm 3.32, 3 Tm 3.34
6 Ga 0.2425 0.2425 0.2425  3 Li 2.67, 3 Tm 2.99
7 Ga 0.7575 0.7575 0.7575  3 Li 2.67, 3 Tm 2.99

Calculated values
For the formation energy, the calculation gives -0.28 eV per atom. As for the density of states at the Fermi level: 5.195 states/eV/cell.

6.
Li5Cd2InPd2 | PBE | optimized geometry

a = 9.3931 Å, b = 9.3931 Å, c = 4.0235 Å
α = 90.00°, β = 90.00°, γ = 90.00°
Last column: nearest neighbours and their distance in Å.
Sites, in units of the cell vectors:
1 Li 0.0000 0.5000 0.0000  4 Pd 2.52, 4 Li 2.80
2 Li 0.0724 0.2112 0.0000  2 Pd 2.63, 2 Li 2.80-2.87, 2 In 2.91
3 Li 0.2112 0.9276 0.0000  2 Pd 2.63, 2 Li 2.80-2.87, 2 In 2.91
4 Li 0.2888 0.4276 0.0000  2 Pd 2.63, 2 Li 2.80-2.87, 2 In 2.91
5 Li 0.4276 0.7112 0.0000  2 Pd 2.63, 2 Li 2.80-2.87, 2 In 2.91
6 Li 0.5000 0.0000 0.0000  4 Pd 2.52, 4 Li 2.80
7 Li 0.5724 0.2888 0.0000  2 Pd 2.63, 2 Li 2.80-2.87, 2 In 2.91
8 Li 0.7112 0.5724 0.0000  2 Pd 2.63, 2 Li 2.80-2.87, 2 In 2.91
9 Li 0.7888 0.0724 0.0000  2 Pd 2.63, 2 Li 2.80-2.87, 2 In 2.91
10 Li 0.9276 0.7888 0.0000  2 Pd 2.63, 2 Li 2.80-2.87, 2 In 2.91
11 Cd 0.1785 0.6785 0.5000  3 Pd 2.76-2.81
12 Cd 0.3215 0.1785 0.5000  3 Pd 2.76-2.81
13 Cd 0.6785 0.8215 0.5000  3 Pd 2.76-2.81
14 Cd 0.8215 0.3215 0.5000  3 Pd 2.76-2.81
15 In 0.0000 0.0000 0.5000  8 Li 2.91
16 In 0.5000 0.5000 0.5000  8 Li 2.91
17 Pd 0.1138 0.3862 0.5000  6 Li 2.52-2.63, 3 Cd 2.76-2.81
18 Pd 0.3862 0.8862 0.5000  6 Li 2.52-2.63, 3 Cd 2.76-2.81
19 Pd 0.6138 0.1138 0.5000  6 Li 2.52-2.63, 3 Cd 2.76-2.81
20 Pd 0.8862 0.6138 0.5000  6 Li 2.52-2.63, 3 Cd 2.76-2.81

Calculated values
For the formation energy, the calculation gives -0.31 eV per atom. As for the density of states at the Fermi level: 7.808 states/eV/cell.